#A
The following is a DFT calculation (GGA-PBE) of a relaxed structure of Zn2OsW.

Unit cell a=5.213 b=5.213 c=5.213 alpha=146.46 beta=129.78 gamma=61.75
Positions (direct):
Zn  0.244  0.244  0.000
Zn  0.756  0.756  0.000
Os  0.000  0.500  0.500
W  0.500  0.000  0.500

Fermi-level density of states: 0.5452 states/eV per atom

#B
The following is a DFT calculation (GGA-PBE) of a relaxed structure of Zn2OsW.

Unit cell a=5.001 b=5.001 c=5.001 alpha=136.02 beta=136.02 gamma=63.94
Positions (direct):
Zn  0.250  0.750  0.500
Zn  0.750  0.250  0.500
Os  0.000  0.000  0.000
W  0.500  0.500  0.000

Fermi-level density of states: 0.9745 states/eV per atom

#C
The following is a DFT calculation (GGA-PBE) of a relaxed structure of Zn2OsW.

Unit cell a=9.012 b=9.012 c=9.012 alpha=17.74 beta=17.74 gamma=17.74
Positions (direct):
Zn  0.248  0.248  0.248
Zn  0.752  0.752  0.752
Os  0.500  0.500  0.500
W  0.000  0.000  0.000

Fermi-level density of states: 0.9879 states/eV per atom

Pick #A: it beats the second-best structure by 51 meV per atom.

#A
The following is a DFT calculation (GGA-PBE) of a relaxed structure of Zn2OsW.

Unit cell a=3.009 b=4.417 c=4.472 alpha=90.00 beta=90.00 gamma=90.00
Positions (direct):
Zn  0.000  0.000  0.000
Zn  0.500  0.500  0.000
Os  0.000  0.500  0.500
W  0.500  0.000  0.500

Fermi-level density of states: 0.5697 states/eV per atom

#B
The following is a DFT calculation (GGA-PBE) of a relaxed structure of Zn2OsW.

Unit cell a=2.703 b=2.703 c=8.912 alpha=90.00 beta=90.00 gamma=113.74
Positions (direct):
Zn  0.000  0.000  0.244
Zn  0.000  0.000  0.756
Os  0.500  0.500  0.000
W  0.500  0.500  0.500

Fermi-level density of states: 0.9587 states/eV per atom

Pick #A: it beats the second-best structure by 91 meV per atom.